# 1
! SnAs2PBr, relaxed, DFT PBEsol; values from VASP
&SYSTEM
  ibrav = 0, nat = 5, ntyp = 4
/
ATOMIC_SPECIES
P 30.97 P.upf
Br 79.90 Br.upf
Sn 118.71 Sn.upf
As 74.92 As.upf
CELL_PARAMETERS angstrom
5.160 0.000 0.000
0.000 5.250 0.000
0.000 0.000 5.250
ATOMIC_POSITIONS crystal
P 0.500 0.500 0.500
Br 0.500 0.000 0.000
Sn 0.000 0.000 0.000
As 0.000 0.000 0.500
As 0.000 0.500 0.000
! - Calculated density: 4.43 g/cm³
! - Total energy: -3.3228 eV/atom
! - Space-group type: P4/mmm, No. 123
! - Formation energy from raw total energies: 1.10 eV per atom



# 2
! Cu3PdAu4, relaxed, DFT PBEsol; values from VASP
&SYSTEM
  ibrav = 0, nat = 8, ntyp = 3
/
ATOMIC_SPECIES
Au 196.97 Au.upf
Cu 63.55 Cu.upf
Pd 106.42 Pd.upf
CELL_PARAMETERS angstrom
-2.676 0.910 -0.106
0.092 -0.059 -2.826
-4.684 -13.764 0.137
ATOMIC_POSITIONS crystal
Au 0.000 0.000 0.622
Au 0.000 0.000 0.378
Au 0.000 0.000 0.865
Au 0.000 0.000 0.135
Cu 0.500 0.500 0.255
Cu 0.500 0.500 0.745
Cu 0.500 0.500 0.500
Pd 0.500 0.500 0.000
! - Calculated density: 15.49 g/cm³
! - Total energy: -4.4059 eV/atom
! - Space-group type: P4/mmm, No. 123
! - Energy relative to the elements: -57 kJ/mol of formula units